Crystalline PuAs2Pb at its relaxed geometry, computed with PBE-GGA.

Cell and atoms, written as POSCAR:
```
PuAs2Pb
1.0
4.2910 0.0000 0.0000
2.1455 3.7161 0.0000
2.1455 1.2387 6.8471
Pu As Pb
1 2 1
direct
0.6673 0.6673 0.9980
0.0738 0.0738 0.7787
0.2653 0.2653 0.2041
0.4936 0.4936 0.5191
```

Calculated values
- formation energy from the elements (meV/atom) = -398
- total magnetization (μB/atom) = 1.07
- crystal system = trigonal
- V (Å³/cell) = 109.2
- offset from the most stable computed form (eV/atom) = 0.000